The following is a meta-GGA SCAN calculation of a crystal of Mg2SbPb relaxed with PBEsol, from Alexandria.

Values from the calculation:
The value obtained for the uncorrected energy is -30.90 eV/atom. The total moment is 0.000 μB per formula unit. Its energy above the most stable polymorph in this dataset is 0.066 eV per formula unit.

a = 3.4376 Å, b = 5.4031 Å, c = 5.4031 Å
α = 103.11°, β = 91.14°, γ = 91.14°
Last column: nearest neighbours and their distance in Å.
Fractional coordinates of all 4 atoms:
1 Pb 0.5000 0.0000 0.0000  8 Mg 3.17-3.23, 2 Sb 3.36, 2 Pb 3.44
2 Sb 0.5000 0.5000 0.5000  8 Mg 3.17-3.23, 2 Pb 3.36, 2 Sb 3.44
3 Mg 0.0000 0.0000 0.5000  4 Pb 3.17-3.23, 4 Sb 3.17-3.23, 4 Mg 3.36-3.44
4 Mg 0.0000 0.5000 0.0000  4 Sb 3.17-3.23, 4 Pb 3.17-3.23, 4 Mg 3.36-3.44